## A
# ZrH2Pt2 | Alexandria | PBE | relaxed
data_ZrH2Pt2
_chemical_formula_sum 'Zr2 H4 Pt4'
_space_group_name_H-M_alt 'I 4/m m m'
_space_group_IT_number 139
_space_group_name_Hall '-I 4 2'
_cell_length_a 3.656
_cell_length_b 3.656
_cell_length_c 8.740
_cell_angle_alpha 90.00
_cell_angle_beta 90.00
_cell_angle_gamma 90.00
loop_
_atom_site_label
_atom_site_fract_x
_atom_site_fract_y
_atom_site_fract_z
Zr1 0.000 0.000 0.000
H1 0.000 0.500 0.250
Pt1 0.000 0.000 0.338
# **M_tot**: 0.00 μB per formula unit
# **DOS at the Fermi energy**: 1.12 states/eV/f.u.

## B
# ZrH2Pt2 | Alexandria | PBE | relaxed
data_ZrH2Pt2
_chemical_formula_sum 'Zr2 H4 Pt4'
_space_group_name_H-M_alt 'P 4/m b m'
_space_group_IT_number 127
_space_group_name_Hall '-P 4 2ab'
_cell_length_a 5.812
_cell_length_b 5.812
_cell_length_c 3.696
_cell_angle_alpha 90.00
_cell_angle_beta 90.00
_cell_angle_gamma 90.00
loop_
_atom_site_label
_atom_site_fract_x
_atom_site_fract_y
_atom_site_fract_z
Zr1 0.000 0.000 0.000
H1 0.150 0.350 0.000
Pt1 0.162 0.338 0.500
# **M_tot**: 0.00 μB per formula unit
# **DOS at the Fermi energy**: 1.09 states/eV/f.u.

In order of decreasing stability: B, A.

## A
# Pu2ReH | Alexandria | PBE | relaxed
data_Pu2ReH
_chemical_formula_sum 'Pu2 Re1 H1'
_space_group_name_H-M_alt 'P 4/m m m'
_space_group_IT_number 123
_space_group_name_Hall '-P 4 2'
_cell_length_a 3.157
_cell_length_b 3.157
_cell_length_c 6.886
_cell_angle_alpha 90.00
_cell_angle_beta 90.00
_cell_angle_gamma 90.00
loop_
_atom_site_label
_atom_site_fract_x
_atom_site_fract_y
_atom_site_fract_z
Pu1 0.000 0.000 0.232
Re1 0.500 0.500 0.500
H1 0.500 0.500 0.000
# **M_tot**: 9.92 μB per formula unit
# **DOS at the Fermi energy**: 7.48 states/eV/f.u.

## B
# Pu2ReH | Alexandria | PBE | relaxed
data_Pu2ReH
_chemical_formula_sum 'Pu6 Re3 H3'
_space_group_name_H-M_alt 'R -3 m'
_space_group_IT_number 166
_space_group_name_Hall '-R 3 2"'
_cell_length_a 2.9041
_cell_length_b 2.9041
_cell_length_c 26.7005
_cell_angle_alpha 90.00
_cell_angle_beta 90.00
_cell_angle_gamma 120.00
loop_
_atom_site_label
_atom_site_fract_x
_atom_site_fract_y
_atom_site_fract_z
Pu1 0.0000 0.0000 0.1025
Re1 0.0000 0.0000 0.0000
H1 0.0000 0.0000 0.5000
# **M_tot**: 9.67 μB per formula unit
# **DOS at the Fermi energy**: 8.47 states/eV/f.u.

In order of decreasing stability: A, B.